No. 1
A relaxed structure of HgRuCl2. Source: Alexandria, functional PBE.

Cell: 3.2187 3.2187 8.4589 Å, 90.00 90.00 90.00°
Space group P4mm (No. 99)
One atom of each set of equivalent atoms:
Hg (0.0000, 0.0000, 0.0000) (multiplicity 1)
Ru (0.5000, 0.5000, 0.2262) (multiplicity 1)
Cl (0.0000, 0.0000, 0.3967) (multiplicity 1)
Cl (0.5000, 0.5000, 0.7944) (multiplicity 1)

Energy relative to the lowest polymorph listed for this composition, eV/atom: 0.4337
N(E_F), states/eV/cell: 3.00
ΔE_f (raw), meV per atom: 255

No. 2
A relaxed structure of Hg2RuCl. Source: Alexandria, functional PBE.

Cell: 2.9104 4.1836 14.1349 Å, 90.00 90.00 90.00°
Space group Immm (No. 71)
One atom of each set of equivalent atoms:
Hg (0.0000, 0.0000, 0.1793) (multiplicity 4)
Ru (0.0000, 0.5000, 0.5000) (multiplicity 2)
Cl (0.0000, 0.5000, 0.0000) (multiplicity 2)

Energy relative to the lowest polymorph listed for this composition, eV/atom: 0.1614
N(E_F), states/eV/cell: 5.62
ΔE_f (raw), meV per atom: 358

No. 3
A relaxed structure of HgRuCl2. Source: Alexandria, functional PBE.

Cell: 7.4108 7.4108 9.1491 Å, 90.00 90.00 90.00°
Space group I-42d (No. 122)
One atom of each set of equivalent atoms:
Hg (0.0000, 0.0000, 0.0000) (multiplicity 4)
Ru (0.0000, 0.0000, 0.5000) (multiplicity 4)
Cl (0.0913, 0.2500, 0.6250) (multiplicity 8)

Energy relative to the lowest polymorph listed for this composition, eV/atom: 0.2753
N(E_F), states/eV/cell: 6.18
ΔE_f (raw), meV per atom: 97

No. 4
A relaxed structure of Hg2RuCl. Source: Alexandria, functional PBE.

Cell: 5.7560 8.5545 3.1880 Å, 90.00 90.00 90.00°
Space group Cmmm (No. 65)
One atom of each set of equivalent atoms:
Hg (0.2500, 0.2500, 0.0000) (multiplicity 4)
Ru (0.0000, 0.0000, 0.5000) (multiplicity 2)
Cl (0.0000, 0.5000, 0.5000) (multiplicity 2)

Energy relative to the lowest polymorph listed for this composition, eV/atom: 0.2573
N(E_F), states/eV/cell: 5.00
ΔE_f (raw), meV per atom: 454

No. 5
A relaxed structure of HgRuCl. Source: Alexandria, functional PBE.

Cell: 6.4262 6.4262 6.4262 Å, 90.00 90.00 90.00°
Space group F-43m (No. 216)
One atom of each set of equivalent atoms:
Hg (0.0000, 0.0000, 0.0000) (multiplicity 4)
Ru (0.2500, 0.2500, 0.2500) (multiplicity 4)
Cl (0.0000, 0.0000, 0.5000) (multiplicity 4)

Energy relative to the lowest polymorph listed for this composition, eV/atom: 0.3778
N(E_F), states/eV/cell: 11.50
ΔE_f (raw), meV per atom: 751

No. 6
A relaxed structure of Hg2RuCl. Source: Alexandria, functional PBE.

Cell: 4.1947 4.1947 9.1828 Å, 90.00 90.00 90.00°
Space group I-4m2 (No. 119)
One atom of each set of equivalent atoms:
Hg (0.0000, 0.0000, 0.0000) (multiplicity 2)
Hg (0.0000, 0.5000, 0.2500) (multiplicity 2)
Ru (0.0000, 0.5000, 0.7500) (multiplicity 2)
Cl (0.0000, 0.0000, 0.5000) (multiplicity 2)

Energy relative to the lowest polymorph listed for this composition, eV/atom: 0.4421
N(E_F), states/eV/cell: 10.66
ΔE_f (raw), meV per atom: 638

No. 7
A relaxed structure of HgRuCl6. Source: Alexandria, functional PBE.

Cell: 6.7771 11.3296 6.7002 Å, 90.00 112.33 90.00°
Space group C2/m (No. 12)
One atom of each set of equivalent atoms:
Hg (0.0000, 0.0000, 0.0000) (multiplicity 2)
Ru (0.0000, 0.5000, 0.5000) (multiplicity 2)
Cl (0.2045, 0.5000, 0.2967) (multiplicity 4)
Cl (0.2249, 0.3548, 0.7291) (multiplicity 8)

N(E_F), states/eV/cell: 0.53
ΔE_f (raw), meV per atom: -507

No. 8
A relaxed structure of Hg2RuCl. Source: Alexandria, functional PBE.

Cell: 4.6578 3.0441 7.1673 Å, 90.00 108.85 90.00°
Space group Pm (No. 6)
One atom of each set of equivalent atoms:
Hg (0.0000, 0.0000, 0.0000) (multiplicity 1)
Hg (0.3378, 0.5000, 0.6731) (multiplicity 1)
Ru (0.7974, 0.0000, 0.5920) (multiplicity 1)
Cl (0.6674, 0.5000, 0.3278) (multiplicity 1)

Energy relative to the lowest polymorph listed for this composition, eV/atom: 0.0228
N(E_F), states/eV/cell: 3.32
ΔE_f (raw), meV per atom: 219

No. 9
A relaxed structure of HgRuCl2. Source: Alexandria, functional PBE.

Cell: 6.9007 6.9007 6.9007 Å, 90.00 90.00 90.00°
Space group F-43m (No. 216)
One atom of each set of equivalent atoms:
Hg (0.0000, 0.0000, 0.0000) (multiplicity 4)
Ru (0.2500, 0.2500, 0.7500) (multiplicity 4)
Cl (0.0000, 0.0000, 0.5000) (multiplicity 4)
Cl (0.2500, 0.2500, 0.2500) (multiplicity 4)

Energy relative to the lowest polymorph listed for this composition, eV/atom: 0.9024
N(E_F), states/eV/cell: 16.07
ΔE_f (raw), meV per atom: 724

No. 10
A relaxed structure of HgRuCl2. Source: Alexandria, functional PBE.

Cell: 3.9155 3.9155 11.3991 Å, 90.00 90.00 90.00°
Space group I-4m2 (No. 119)
One atom of each set of equivalent atoms:
Hg (0.0000, 0.0000, 0.0000) (multiplicity 2)
Ru (0.0000, 0.5000, 0.7500) (multiplicity 2)
Cl (0.0000, 0.0000, 0.5000) (multiplicity 2)
Cl (0.0000, 0.5000, 0.2500) (multiplicity 2)

Energy relative to the lowest polymorph listed for this composition, eV/atom: 0.7581
N(E_F), states/eV/cell: 10.15
ΔE_f (raw), meV per atom: 580

No. 11
A relaxed structure of HgRuCl3. Source: Alexandria, functional PBE.

Cell: 5.2518 5.2518 5.2518 Å, 90.00 90.00 90.00°
Space group Pm-3m (No. 221)
One atom of each set of equivalent atoms:
Hg (0.0000, 0.0000, 0.0000) (multiplicity 1)
Ru (0.5000, 0.5000, 0.5000) (multiplicity 1)
Cl (0.0000, 0.0000, 0.5000) (multiplicity 3)

Energy relative to the lowest polymorph listed for this composition, eV/atom: 0.8890
N(E_F), states/eV/cell: 7.08
ΔE_f (raw), meV per atom: 578

No. 12
A relaxed structure of HgRuCl2. Source: Alexandria, functional PBE.

Cell: 6.3899 7.8423 3.3589 Å, 90.00 90.00 90.00°
Space group Cmmm (No. 65)
One atom of each set of equivalent atoms:
Hg (0.0000, 0.0000, 0.0000) (multiplicity 2)
Ru (0.0000, 0.5000, 0.0000) (multiplicity 2)
Cl (0.2500, 0.2500, 0.5000) (multiplicity 4)

Energy relative to the lowest polymorph listed for this composition, eV/atom: 0.7909
N(E_F), states/eV/cell: 9.44
ΔE_f (raw), meV per atom: 612

No. 13
A relaxed structure of HgRuCl. Source: Alexandria, functional PBE.

Cell: 3.0069 5.5040 14.8324 Å, 90.00 90.00 90.00°
Space group Fmm2 (No. 42)
One atom of each set of equivalent atoms:
Hg (0.0000, 0.0000, 0.0000) (multiplicity 4)
Ru (0.0000, 0.0000, 0.3397) (multiplicity 4)
Cl (0.0000, 0.0000, 0.7211) (multiplicity 4)

Energy relative to the lowest polymorph listed for this composition, eV/atom: 0.0344
N(E_F), states/eV/cell: 9.43
ΔE_f (raw), meV per atom: 407

No. 14
A relaxed structure of Hg2RuCl. Source: Alexandria, functional PBE.

Cell: 3.3805 3.3805 25.5662 Å, 90.00 90.00 120.00°
Space group R-3m (No. 166, hexagonal axes)
One atom of each set of equivalent atoms:
Hg (0.0000, 0.0000, 0.2460) (multiplicity 6)
Ru (0.0000, 0.0000, 0.5000) (multiplicity 3)
Cl (0.0000, 0.0000, 0.0000) (multiplicity 3)

Energy relative to the lowest polymorph listed for this composition, eV/atom: 0.1494
N(E_F), states/eV/cell: 8.58
ΔE_f (raw), meV per atom: 346

No. 15
A relaxed structure of Hg2RuCl. Source: Alexandria, functional PBE.

Cell: 3.0166 5.5628 10.5463 Å, 90.00 90.00 90.00°
Space group Cmm2 (No. 35)
One atom of each set of equivalent atoms:
Hg (0.0000, 0.0000, 0.0000) (multiplicity 2)
Hg (0.0000, 0.5000, 0.2803) (multiplicity 2)
Ru (0.0000, 0.5000, 0.7757) (multiplicity 2)
Cl (0.0000, 0.0000, 0.6101) (multiplicity 2)

Energy relative to the lowest polymorph listed for this composition, eV/atom: 0.0988
N(E_F), states/eV/cell: 4.94
ΔE_f (raw), meV per atom: 295

No. 16
A relaxed structure of HgRuCl2. Source: Alexandria, functional PBE.

Cell: 3.1968 6.3386 10.4513 Å, 90.00 90.00 90.00°
Space group Cmmm (No. 65)
One atom of each set of equivalent atoms:
Hg (0.0000, 0.0000, 0.0000) (multiplicity 2)
Ru (0.0000, 0.0000, 0.5000) (multiplicity 2)
Cl (0.0000, 0.5000, 0.3334) (multiplicity 4)

Energy relative to the lowest polymorph listed for this composition, eV/atom: 0.1865
N(E_F), states/eV/cell: 6.38
ΔE_f (raw), meV per atom: 8

No. 17
A relaxed structure of Hg2RuCl. Source: Alexandria, functional PBE.

Cell: 6.9132 6.9132 6.9132 Å, 90.00 90.00 90.00°
Space group Fm-3m (No. 225)
One atom of each set of equivalent atoms:
Hg (0.2500, 0.2500, 0.2500) (multiplicity 8)
Ru (0.0000, 0.0000, 0.0000) (multiplicity 4)
Cl (0.0000, 0.0000, 0.5000) (multiplicity 4)

Energy relative to the lowest polymorph listed for this composition, eV/atom: 0.5629
N(E_F), states/eV/cell: 16.55
ΔE_f (raw), meV per atom: 759

No. 18
A relaxed structure of HgRuCl2. Source: Alexandria, functional PBE.

Cell: 10.6872 3.2014 6.7560 Å, 90.00 114.84 90.00°
Space group Cm (No. 8)
One atom of each set of equivalent atoms:
Hg (0.0000, 0.0000, 0.0000) (multiplicity 2)
Ru (0.2398, 0.5000, 0.9998) (multiplicity 2)
Cl (0.1745, 0.0000, 0.7130) (multiplicity 2)
Cl (0.3274, 0.0000, 0.2864) (multiplicity 2)

Energy relative to the lowest polymorph listed for this composition, eV/atom: 0.0620
N(E_F), states/eV/cell: 5.83
ΔE_f (raw), meV per atom: -117

No. 19
A relaxed structure of HgRuCl2. Source: Alexandria, functional PBE.

Cell: 6.9158 6.9158 6.9158 Å, 90.00 90.00 90.00°
Space group Fm-3m (No. 225)
One atom of each set of equivalent atoms:
Hg (0.0000, 0.0000, 0.0000) (multiplicity 4)
Ru (0.0000, 0.0000, 0.5000) (multiplicity 4)
Cl (0.2500, 0.2500, 0.2500) (multiplicity 8)

Energy relative to the lowest polymorph listed for this composition, eV/atom: 0.7325
N(E_F), states/eV/cell: 10.03
ΔE_f (raw), meV per atom: 554

No. 20
A relaxed structure of HgRuCl2. Source: Alexandria, functional PBE.

Cell: 3.0323 3.0323 32.6190 Å, 90.00 90.00 120.00°
Space group R-3m (No. 166, hexagonal axes)
One atom of each set of equivalent atoms:
Hg (0.0000, 0.0000, 0.0000) (multiplicity 3)
Ru (0.0000, 0.0000, 0.5000) (multiplicity 3)
Cl (0.0000, 0.0000, 0.4323) (multiplicity 6)

Energy relative to the lowest polymorph listed for this composition, eV/atom: 0.2898
N(E_F), states/eV/cell: 8.81
ΔE_f (raw), meV per atom: 111